(1)
24
Lattice="5.792 0.000 -0.002 3.041 4.930 -0.002 2.931 1.636 12.764" Properties=species:S:1:pos:R:3 comment="PBE-GGA K2ZrGe2O7, relaxed" total_magnetization_mub_per_cell=0.000 e_tot_ev_per_atom=-6.757 dos_at_fermi_per_ev_fu=0.00 pbc="T T T"
O 1.449 0.448 0.562
Ge 7.179 2.577 7.939
O 4.542 2.227 4.758
O 4.157 4.650 3.189
O 10.314 6.118 12.198
O 3.165 2.811 1.290
O 6.244 4.530 5.089
O 5.520 2.036 7.672
Zr 4.361 0.818 6.381
O 7.606 1.915 9.571
O 6.018 3.051 1.620
Ge 4.496 3.939 1.557
Ge 4.585 3.989 4.822
K 7.452 2.299 4.112
K 4.429 0.612 2.267
O 5.745 3.515 11.140
O 9.156 4.749 5.816
O 8.598 3.754 11.471
K 7.334 5.954 10.494
O 2.607 1.816 6.945
Ge 7.267 2.626 11.204
O 7.222 4.339 8.003
K 4.311 4.267 8.649
Zr 1.520 2.465 -0.001



(2)
16
Lattice="-4.742 -2.607 2.577 4.651 -1.083 3.622 -1.377 7.852 0.921" Properties=species:S:1:pos:R:3 comment="PBE-GGA KZrGeO5, relaxed" total_magnetization_mub_per_cell=2.095 e_tot_ev_per_atom=-6.994 dos_at_fermi_per_ev_fu=3.00 pbc="T T T"
O 1.481 5.908 3.738
Zr -0.688 3.926 0.461
Ge -2.186 -0.173 3.130
O -3.329 1.090 2.666
K -2.687 3.783 3.611
O -1.278 0.290 4.608
Ge 0.718 4.336 3.990
O -5.220 3.372 3.329
K 1.219 0.380 3.509
O -0.583 4.441 5.222
O 3.752 0.791 3.791
O 1.862 3.073 4.454
O -2.949 -1.745 3.382
O -0.189 3.873 2.512
O -0.885 -0.278 1.898
Zr 0.000 0.000 0.000